[1]
Below is SrHgSO after structural relaxation, with properties calculated at the GGA-PBE level.

**ρ**: 6.18 g cm⁻³
**SG**: No. 36
**Raw total energy**: -4.118 eV/atom

```
SrHgSO
1.0
2.030 -7.343 0.000
2.030 7.343 0.000
0.000 0.000 6.057
Sr Hg S O
2 2 2 2
direct
0.154 0.846 0.500
0.846 0.154 0.000
0.427 0.573 0.538
0.573 0.427 0.038
0.181 0.819 0.997
0.819 0.181 0.497
0.430 0.570 0.953
0.570 0.430 0.453
```

***

[2]
Below is SrHgSO after structural relaxation, with properties calculated at the GGA-PBE level.

**ρ**: 4.75 g cm⁻³
**SG**: No. 19
**Raw total energy**: -4.035 eV/atom

```
SrHgSO
1.0
6.790 0.000 0.000
0.000 8.275 0.000
0.000 0.000 8.371
Sr Hg S O
4 4 4 4
direct
0.108 0.149 0.086
0.392 0.851 0.586
0.608 0.351 0.914
0.892 0.649 0.414
0.222 0.617 0.975
0.278 0.383 0.475
0.722 0.883 0.025
0.778 0.117 0.525
0.171 0.113 0.433
0.329 0.887 0.933
0.671 0.387 0.567
0.829 0.613 0.067
0.227 0.631 0.484
0.273 0.369 0.984
0.727 0.869 0.516
0.773 0.131 0.016
```

***

[3]
Below is SrHgSO after structural relaxation, with properties calculated at the GGA-PBE level.

**ρ**: 5.82 g cm⁻³
**SG**: No. 29
**Raw total energy**: -4.104 eV/atom

```
SrHgSO
1.0
7.215 0.000 0.000
0.000 7.726 0.000
0.000 0.000 6.883
Sr Hg S O
4 4 4 4
direct
0.108 0.109 0.000
0.392 0.109 0.500
0.608 0.891 0.000
0.892 0.891 0.500
0.051 0.636 0.091
0.449 0.636 0.591
0.551 0.364 0.091
0.949 0.364 0.591
0.108 0.634 0.720
0.392 0.634 0.220
0.608 0.366 0.720
0.892 0.366 0.220
0.090 0.103 0.649
0.410 0.103 0.149
0.590 0.897 0.649
0.910 0.897 0.149
```

***

[4]
Below is SrHgSO after structural relaxation, with properties calculated at the GGA-PBE level.

**ρ**: 6.87 g cm⁻³
**SG**: No. 63
**Raw total energy**: -3.778 eV/atom

```
SrHgSO
1.0
1.914 -7.051 0.000
1.914 7.051 0.000
0.000 0.000 6.021
Sr Hg S O
2 2 2 2
direct
0.138 0.862 0.750
0.862 0.138 0.250
0.424 0.576 0.750
0.576 0.424 0.250
0.205 0.795 0.250
0.795 0.205 0.750
0.000 0.000 0.000
0.000 0.000 0.500
```

***

[5]
Below is SrHgSO after structural relaxation, with properties calculated at the GGA-PBE level.

**ρ**: 5.92 g cm⁻³
**SG**: No. 129
**Raw total energy**: -3.756 eV/atom

```
SrHgSO
1.0
4.895 0.000 0.000
0.000 4.895 0.000
0.000 0.000 7.873
Sr Hg S O
2 2 2 2
direct
0.250 0.250 0.188
0.750 0.750 0.812
0.250 0.250 0.641
0.750 0.750 0.359
0.250 0.750 0.500
0.750 0.250 0.500
0.250 0.250 0.910
0.750 0.750 0.090
```

***

[6]
Below is SrHgSO after structural relaxation, with properties calculated at the GGA-PBE level.

**ρ**: 6.22 g cm⁻³
**SG**: No. 61
**Raw total energy**: -4.081 eV/atom

```
SrHgSO
1.0
7.558 0.000 0.000
0.000 7.627 0.000
0.000 0.000 12.455
Sr Hg S O
8 8 8 8
direct
0.171 0.049 0.231
0.171 0.451 0.731
0.329 0.549 0.231
0.329 0.951 0.731
0.671 0.049 0.269
0.671 0.451 0.769
0.829 0.549 0.269
0.829 0.951 0.769
0.010 0.741 0.040
0.010 0.759 0.540
0.490 0.241 0.040
0.490 0.259 0.540
0.510 0.741 0.460
0.510 0.759 0.960
0.990 0.241 0.460
0.990 0.259 0.960
0.243 0.550 0.480
0.243 0.950 0.980
0.257 0.050 0.480
0.257 0.450 0.980
0.743 0.550 0.020
0.743 0.950 0.520
0.757 0.050 0.020
0.757 0.450 0.520
0.068 0.740 0.223
0.068 0.760 0.723
0.432 0.240 0.223
0.432 0.260 0.723
0.568 0.740 0.277
0.568 0.760 0.777
0.932 0.240 0.277
0.932 0.260 0.777
```